(1)
The following is a GGA-PBEsol calculation of an optimized crystal structure of BPBr2, from Alexandria via LeMat-Bulk.

Cell: 3.278 3.278 9.354 Å, 79.91 79.91 60.00°
Atoms (fractional coordinates):
1 Br 0.066 0.066 0.802
2 P 0.500 0.500 0.500
3 B 0.000 0.000 0.000
4 Br 0.934 0.934 0.198

size of the total moment	0.000	μB per cell
calculated density	3.93	g/cm3
energy relative to the elements, uncorrected	0.971	eV/atom
symmetry	R-3m, No. 166

=====

(2)
The following is a GGA-PBEsol calculation of an optimized crystal structure of BP2SBr, from Alexandria via LeMat-Bulk.

Cell: 4.766 4.801 4.801 Å, 90.00 90.00 90.00°
Atoms (fractional coordinates):
1 P 0.000 0.000 0.500
2 Br 0.000 0.000 0.000
3 B 0.500 0.500 0.500
4 S 0.500 0.000 0.000
5 P 0.000 0.500 0.000

size of the total moment	0.015	μB per cell
calculated density	2.79	g/cm3
energy relative to the elements, uncorrected	2.218	eV/atom
symmetry	P4/mmm, No. 123

=====

(3)
The following is a GGA-PBEsol calculation of an optimized crystal structure of BTe2PBr, from Alexandria via LeMat-Bulk.

Cell: 4.847 5.431 5.431 Å, 90.00 90.00 90.00°
Each line ends with the local moment (μB).
Atoms (fractional coordinates):
1 P 0.500 0.000 0.000  0.21
2 B 0.500 0.500 0.500  0.00
3 Te 0.000 0.500 0.000  0.02
4 Te 0.000 0.000 0.500  0.02
5 Br 0.000 0.000 0.000  0.02

size of the total moment	0.545	μB per cell
calculated density	4.38	g/cm3
energy relative to the elements, uncorrected	1.917	eV/atom
symmetry	P4/mmm, No. 123

=====

(4)
The following is a GGA-PBEsol calculation of an optimized crystal structure of BPt2PbBr, from Alexandria via LeMat-Bulk.

Cell: 4.108 4.108 5.842 Å, 90.00 90.00 90.00°
Atoms (fractional coordinates):
1 Pt 0.500 0.000 0.000
2 Br 0.500 0.500 0.500
3 Pb 0.000 0.000 0.500
4 Pt 0.000 0.500 0.000
5 B 0.000 0.000 0.000

size of the total moment	0.000	μB per cell
calculated density	11.59	g/cm3
energy relative to the elements, uncorrected	0.104	eV/atom
symmetry	P4/mmm, No. 123

=====

(5)
The following is a GGA-PBEsol calculation of an optimized crystal structure of B2PdBr2, from Alexandria via LeMat-Bulk.

Cell: 4.381 6.230 6.230 Å, 90.00 90.00 90.00°
Atoms (fractional coordinates):
1 B 0.000 0.726 0.774
2 Pd 0.000 0.500 0.500
3 Br 0.500 0.189 0.689
4 Pd 0.000 0.000 0.000
5 B 0.000 0.226 0.726
6 Br 0.500 0.689 0.811
7 B 0.000 0.774 0.274
8 Br 0.500 0.811 0.311
9 Br 0.500 0.311 0.189
10 B 0.000 0.274 0.226

size of the total moment	0.000	μB per cell
calculated density	5.62	g/cm3
energy relative to the elements, uncorrected	0.931	eV/atom
symmetry	P4/mbm, No. 127

=====

(6)
The following is a GGA-PBEsol calculation of an optimized crystal structure of Rb2BBr, from Alexandria via LeMat-Bulk.

Cell: 5.687 5.687 5.687 Å, 60.00 60.00 60.00°
Each line ends with the local moment (μB).
Atoms (fractional coordinates):
1 Rb 0.750 0.750 0.750  0.03
2 Rb 0.250 0.250 0.250  0.03
3 B 0.000 0.000 0.000  0.62
4 Br 0.500 0.500 0.500  0.03

size of the total moment	2.000	μB per cell
calculated density	3.34	g/cm3
energy relative to the elements, uncorrected	0.319	eV/atom
symmetry	Fm-3m, No. 225

=====

(7)
The following is a GGA-PBEsol calculation of an optimized crystal structure of RbBSe2Br, from Alexandria via LeMat-Bulk.

Cell: 6.116 6.123 6.123 Å, 90.00 90.00 90.00°
Each line ends with the local moment (μB).
Atoms (fractional coordinates):
1 Br 0.500 0.000 0.000  0.19
2 Se 0.000 0.000 0.500  0.90
3 Rb 0.000 0.000 0.000  0.05
4 Se 0.000 0.500 0.000  0.90
5 B 0.500 0.500 0.500  -0.14

size of the total moment	3.005	μB per cell
calculated density	2.42	g/cm3
energy relative to the elements, uncorrected	1.648	eV/atom
symmetry	P4/mmm, No. 123

=====

(8)
The following is a GGA-PBEsol calculation of an optimized crystal structure of Rb8Zr6BBr20, from Alexandria via LeMat-Bulk.

Cell: 11.718 11.718 11.718 Å, 60.00 60.00 60.00°
Atoms (fractional coordinates):
1 Br 0.250 0.250 0.250
2 Br 0.000 0.000 0.324
3 Br 0.688 0.312 0.688
4 Br 0.324 0.676 0.000
5 Rb 0.640 0.081 0.640
6 Zr 0.139 0.861 0.861
7 Rb 0.919 0.360 0.360
8 Br 0.750 0.750 0.750
9 Br 0.324 0.000 0.676
10 Zr 0.861 0.139 0.139
11 Br 0.000 0.324 0.676
12 Br 0.676 0.000 0.324
13 Br 0.688 0.312 0.312
14 Zr 0.861 0.861 0.139
15 Br 0.324 0.000 0.000
16 Rb 0.360 0.919 0.360
17 Rb 0.360 0.360 0.919
18 Rb 0.081 0.640 0.640
19 Zr 0.861 0.139 0.861
20 Br 0.676 0.324 0.000
21 Rb 0.640 0.640 0.640
22 Br 0.312 0.688 0.312
23 Br 0.000 0.000 0.676
24 Br 0.312 0.312 0.688
25 Rb 0.640 0.640 0.081
26 Br 0.000 0.676 0.000
27 Br 0.688 0.688 0.312
28 Rb 0.360 0.360 0.360
29 Zr 0.139 0.861 0.139
30 Br 0.676 0.000 0.000
31 B 0.000 0.000 0.000
32 Zr 0.139 0.139 0.861
33 Br 0.000 0.676 0.324
34 Br 0.000 0.324 0.000
35 Br 0.312 0.688 0.688

size of the total moment	0.002	μB per cell
calculated density	4.15	g/cm3
energy relative to the elements, uncorrected	-1.580	eV/atom
symmetry	Fm-3m, No. 225